Compound: CsP2H3O6
Source: Alexandria via LeMat-Bulk
Functional: GGA-PBEsol
Structure: relaxed

Lattice parameters (Å, degrees): 7.418 7.555 7.839 88.93 64.51 61.90
Fractional positions:
1 H 0.122 0.277 0.671
2 P 0.050 0.925 0.356
3 O 0.733 0.295 0.699
4 H 0.878 0.723 0.329
5 O 0.365 0.294 0.865
6 P 0.950 0.075 0.644
7 O 0.107 0.428 0.697
8 O 0.880 0.951 0.788
9 O 0.120 0.049 0.212
10 H 0.571 0.296 0.768
11 Cs 0.455 0.207 0.231
12 O 0.156 0.092 0.623
13 P 0.848 0.528 0.136
14 O 0.838 0.328 0.145
15 Cs 0.545 0.793 0.769
16 H 0.968 0.198 0.179
17 O 0.844 0.908 0.377
18 O 0.162 0.672 0.855
19 H 0.429 0.704 0.232
20 P 0.152 0.472 0.864
21 O 0.635 0.706 0.135
22 H 0.032 0.802 0.821
23 O 0.893 0.572 0.303
24 O 0.267 0.705 0.301

## Properties
Space group ... P-1 (2)
Calculated total energy ... -6.24 eV per atom
Total magnetization ... 0.00 μB/cell